Na3VPd2Se6: relaxed, GGA-PBE.

Cell and atoms, written as POSCAR:
```
Na3VPd2Se6
1.0
6.672 -0.001 -0.001
-3.336 5.779 -0.001
-1.114 -1.929 6.757
Se Pd Na V
6 2 3 1
Cartesian
-0.013 -0.022 5.415
2.199 0.000 1.332
3.321 1.943 5.422
-1.099 1.905 1.332
2.235 3.870 1.340
0.023 3.848 5.422
3.336 1.925 -0.001
0.000 3.852 -0.001
1.111 1.924 3.377
-2.183 3.826 3.377
4.405 0.021 3.377
0.000 0.000 0.000
```

ΔE_f (raw) in eV/f.u.: -7.69
Symmetry: C2/m
D(E_F) in states/eV/f.u.: 6.95